# GGA-PBE AcLa2Sm3Se6, optimized geometry
data_AcLa2Sm3Se6
_chemical_formula_sum 'Ac1 La2 Sm3 Se6'
_cell_length_a 7.386
_cell_length_b 7.386
_cell_length_c 7.417
_cell_angle_alpha 99.56
_cell_angle_beta 99.56
_cell_angle_gamma 120.17
_symmetry_space_group_name_H-M 'P 1'
_symmetry_Int_Tables_number 1
loop_
_symmetry_equiv_pos_as_xyz
'x,y,z'
loop_
_atom_site_label
_atom_site_type_symbol
_atom_site_fract_x
_atom_site_fract_y
_atom_site_fract_z
_atom_site_occupancy
Se1 Se 0.088 0.426 0.264 1
Se2 Se 0.426 0.088 0.264 1
Se3 Se 0.574 0.912 0.736 1
Se4 Se 0.251 0.251 0.738 1
Se5 Se 0.749 0.749 0.262 1
Se6 Se 0.912 0.574 0.736 1
La1 La 0.667 0.333 0.000 1
La2 La 0.333 0.667 0.000 1
Sm1 Sm 0.500 0.500 0.500 1
Sm2 Sm 0.835 0.165 0.500 1
Sm3 Sm 0.165 0.835 0.500 1
Ac1 Ac 0.000 0.000 0.000 1
# Raw formation energy   -1.887 eV/atom
# Energy   -5.972 eV/atom